Version A
{"formula": "CsTl2Pb2", "functional": "PBE-GGA", "state": "relaxed", "lattice_angstrom": [[10.000, 0.000, 0.000], [0.000, 10.000, 0.000], [0.000, 0.000, 3.655]], "species": ["Cs", "Cs", "Tl", "Tl", "Tl", "Tl", "Pb", "Pb", "Pb", "Pb"], "frac_coords": [[0.000, 0.000, 0.000], [0.500, 0.500, 0.000], [0.161, 0.339, 0.500], [0.339, 0.839, 0.500], [0.661, 0.161, 0.500], [0.839, 0.661, 0.500], [0.122, 0.622, 0.000], [0.378, 0.122, 0.000], [0.622, 0.878, 0.000], [0.878, 0.378, 0.000]], "crystal_system": "tetragonal"}

Version B
{"formula": "CsTl2Pb2", "functional": "PBE-GGA", "state": "relaxed", "lattice_angstrom": [[5.055, 0.000, 0.000], [0.000, 5.055, 0.000], [0.000, 0.000, 7.584]], "species": ["Cs", "Tl", "Tl", "Pb", "Pb"], "frac_coords": [[0.000, 0.000, 0.000], [0.500, 0.500, 0.226], [0.500, 0.500, 0.774], [0.000, 0.500, 0.500], [0.500, 0.000, 0.500]], "crystal_system": "tetragonal"}

Version C
{"formula": "CsTl2Pb2", "functional": "PBE-GGA", "state": "relaxed", "lattice_angstrom": [[7.584, 0.000, 0.000], [3.767, 6.683, 0.000], [3.754, -0.001, 8.304]], "species": ["Cs", "Cs", "Tl", "Tl", "Tl", "Tl", "Pb", "Pb", "Pb", "Pb"], "frac_coords": [[0.125, 0.250, 0.251], [0.875, 0.750, 0.749], [0.172, 0.157, 0.750], [0.425, 0.655, 0.249], [0.575, 0.345, 0.751], [0.828, 0.843, 0.250], [0.265, 0.752, 0.965], [0.483, 0.751, 0.535], [0.517, 0.249, 0.465], [0.735, 0.248, 0.035]], "crystal_system": "triclinic"}

version B (29 meV per atom below the next structure)

Version A
{"formula": "CsTl2Pb2", "functional": "PBE-GGA", "state": "relaxed", "lattice_angstrom": [[-2.814, 2.814, 6.186], [2.814, -2.814, 6.186], [2.814, 2.814, -6.186]], "species": ["Cs", "Tl", "Tl", "Pb", "Pb"], "frac_coords": [[0.000, 0.000, 0.000], [0.250, 0.750, 0.500], [0.750, 0.250, 0.500], [0.375, 0.375, 0.000], [0.625, 0.625, 0.000]], "crystal_system": "tetragonal"}

Version B
{"formula": "CsTl2Pb2", "functional": "PBE-GGA", "state": "relaxed", "lattice_angstrom": [[-2.481, 2.481, 7.868], [2.481, -2.481, 7.868], [2.481, 2.481, -7.868]], "species": ["Cs", "Tl", "Tl", "Pb", "Pb"], "frac_coords": [[0.000, 0.000, 0.000], [0.387, 0.387, 0.000], [0.613, 0.613, 0.000], [0.250, 0.750, 0.500], [0.750, 0.250, 0.500]], "crystal_system": "tetragonal"}

version B (18 meV per atom below the next structure)

Version A
{"formula": "CsTl3Pb3", "functional": "PBE-GGA", "state": "relaxed", "lattice_angstrom": [[9.950, 0.000, 0.000], [-4.975, 8.617, 0.000], [0.000, 0.000, 6.010]], "species": ["Cs", "Cs", "Tl", "Tl", "Tl", "Tl", "Tl", "Tl", "Pb", "Pb", "Pb", "Pb", "Pb", "Pb"], "frac_coords": [[0.333, 0.667, 0.250], [0.667, 0.333, 0.750], [0.094, 0.546, 0.750], [0.452, 0.906, 0.750], [0.454, 0.548, 0.750], [0.546, 0.452, 0.250], [0.548, 0.094, 0.250], [0.906, 0.454, 0.250], [0.111, 0.887, 0.750], [0.113, 0.225, 0.750], [0.225, 0.111, 0.250], [0.775, 0.889, 0.750], [0.887, 0.775, 0.250], [0.889, 0.113, 0.250]], "crystal_system": "hexagonal"}

Version B
{"formula": "CsTl3Pb3", "functional": "PBE-GGA", "state": "relaxed", "lattice_angstrom": [[10.108, 0.000, 0.000], [-5.054, 8.754, 0.000], [0.000, 0.000, 6.120]], "species": ["Cs", "Cs", "Tl", "Tl", "Tl", "Tl", "Tl", "Tl", "Pb", "Pb", "Pb", "Pb", "Pb", "Pb"], "frac_coords": [[0.333, 0.667, 0.250], [0.667, 0.333, 0.750], [0.097, 0.688, 0.750], [0.312, 0.409, 0.750], [0.409, 0.097, 0.250], [0.591, 0.903, 0.750], [0.688, 0.591, 0.250], [0.903, 0.312, 0.250], [0.049, 0.837, 0.250], [0.163, 0.212, 0.250], [0.212, 0.049, 0.750], [0.788, 0.951, 0.250], [0.837, 0.788, 0.750], [0.951, 0.163, 0.750]], "crystal_system": "hexagonal"}

version B (103 meV per atom below the next structure)

Version A
{"formula": "Cs3Tl8Pb", "functional": "PBE-GGA", "state": "relaxed", "lattice_angstrom": [[6.898, 0.000, 0.000], [-3.449, 5.974, 0.000], [0.000, 0.000, 10.920]], "species": ["Cs", "Cs", "Cs", "Tl", "Tl", "Tl", "Tl", "Tl", "Tl", "Tl", "Tl", "Pb"], "frac_coords": [[0.000, 0.000, 0.000], [0.000, 0.000, 0.378], [0.667, 0.333, 0.513], [0.168, 0.335, 0.700], [0.168, 0.832, 0.700], [0.333, 0.667, 0.439], [0.333, 0.667, 0.942], [0.506, 0.011, 0.178], [0.506, 0.494, 0.178], [0.665, 0.832, 0.700], [0.989, 0.494, 0.178], [0.667, 0.333, 0.882]], "crystal_system": "trigonal"}

Version B
{"formula": "Cs3Tl8Pb", "functional": "PBE-GGA", "state": "relaxed", "lattice_angstrom": [[3.455, 1.995, 10.944], [-3.455, 1.995, 10.944], [0.000, -3.990, 10.944]], "species": ["Cs", "Cs", "Cs", "Tl", "Tl", "Tl", "Tl", "Tl", "Tl", "Tl", "Tl", "Pb"], "frac_coords": [[0.000, 0.000, 0.000], [0.125, 0.125, 0.125], [0.620, 0.620, 0.620], [0.059, 0.059, 0.558], [0.059, 0.558, 0.059], [0.071, 0.563, 0.563], [0.314, 0.314, 0.314], [0.558, 0.059, 0.059], [0.563, 0.071, 0.563], [0.563, 0.563, 0.071], [0.812, 0.812, 0.812], [0.491, 0.491, 0.491]], "crystal_system": "trigonal"}

version A (12 meV per atom below the next structure)